No. 1
The following is a DFT calculation (PBE) of a relaxed PrNi2Sn4 crystal.

Cell: 4.3877 7.1961 19.2044 Å, 90.00 90.00 90.00°
Fractional positions:
1 Pr 0.7500 0.0334 0.6395
2 Pr 0.2500 0.9666 0.3605
3 Pr 0.2500 0.5334 0.8605
4 Pr 0.7500 0.4666 0.1395
5 Ni 0.2500 0.7495 0.5367
6 Ni 0.7500 0.2505 0.4633
7 Ni 0.7500 0.2495 0.9633
8 Ni 0.2500 0.7505 0.0367
9 Ni 0.2500 0.9999 0.7904
10 Ni 0.7500 0.0001 0.2096
11 Ni 0.7500 0.4999 0.7096
12 Ni 0.2500 0.5001 0.2904
13 Sn 0.2500 0.3002 0.7058
14 Sn 0.7500 0.6998 0.2942
15 Sn 0.7500 0.8002 0.7942
16 Sn 0.2500 0.1998 0.2058
17 Sn 0.2500 0.7148 0.6770
18 Sn 0.7500 0.2852 0.3230
19 Sn 0.7500 0.2148 0.8231
20 Sn 0.2500 0.7852 0.1769
21 Sn 0.2500 0.1378 0.5249
22 Sn 0.7500 0.8622 0.4751
23 Sn 0.7500 0.6378 0.9751
24 Sn 0.2500 0.3622 0.0249
25 Sn 0.2500 0.4921 0.4317
26 Sn 0.7500 0.5079 0.5683
27 Sn 0.7500 0.9921 0.0683
28 Sn 0.2500 0.0079 0.9317

Properties
- calculated volume (Å³/cell) = 606
- mass density (g/cm³) = 8.0
- formation energy (eV per atom) = -0.378
- Fermi-level density of states (states/eV per cell) = 14.32
- total DFT energy (no corrections) (eV/cell) = -140.0
- total magnetic moment (Bohr magnetons per cell) = 0.00
- ΔE to the lowest computed polymorph (meV/atom) = 0



No. 2
The following is a DFT calculation (PBE) of a relaxed NpZnTcOs crystal.

Cell: 4.5431 4.5431 4.5431 Å, 60.00 60.00 60.00°
Last column: magnetic moment on the atom in μB.
Fractional positions:
1 Np 0.7500 0.7500 0.7500  2.71
2 Zn 0.2500 0.2500 0.2500  0.00
3 Os 0.0000 0.0000 0.0000  -0.26
4 Tc 0.5000 0.5000 0.5000  -0.40

Properties
- calculated volume (Å³/cell) = 66
- mass density (g/cm³) = 14.8
- formation energy (eV per atom) = 0.150
- Fermi-level density of states (states/eV per cell) = 7.70
- total DFT energy (no corrections) (eV/cell) = -35.2
- total magnetic moment (Bohr magnetons per cell) = 2.12



No. 3
The following is a DFT calculation (PBE) of a relaxed Er4Tm3 crystal.

Cell: 3.4877 4.9353 12.5971 Å, 101.30 97.96 90.00°
Fractional positions:
1 Er 0.7141 0.2141 0.4283
2 Er 0.2859 0.7859 0.5717
3 Er 0.4287 0.9287 0.8573
4 Er 0.5713 0.0713 0.1427
5 Tm 0.8573 0.3573 0.7145
6 Tm 0.0000 0.5000 0.0000
7 Tm 0.1427 0.6427 0.2855

Properties
- calculated volume (Å³/cell) = 211
- mass density (g/cm³) = 9.3
- formation energy (eV per atom) = 0.025
- Fermi-level density of states (states/eV per cell) = 9.01
- total DFT energy (no corrections) (eV/cell) = -31.5
- total magnetic moment (Bohr magnetons per cell) = 0.00